Record 1
{
  "formula": "Ce2TmIn3",
  "functional": "PBE",
  "state": "optimized geometry",
  "lattice_angstrom": [[3.407, 0.000, 0.000], [0.000, 3.407, 0.000], [0.000, 0.000, 13.811]],
  "species": ["Ce", "Ce", "Tm", "In", "In", "In"],
  "frac_coords": [[0.500, 0.500, 0.829], [0.500, 0.500, 0.171], [0.500, 0.500, 0.500], [0.000, 0.000, 0.000], [0.000, 0.000, 0.659], [0.000, 0.000, 0.341]],
  "delta_e_f_mev_per_atom": -386
}


Record 2
{
  "formula": "CePu2Mn",
  "functional": "PBE",
  "state": "optimized geometry",
  "lattice_angstrom": [[-0.198, -1.676, 2.992], [0.058, -2.998, -1.675], [7.171, -0.097, 0.420]],
  "species": ["Mn", "Ce", "Pu", "Pu"],
  "frac_coords": [[0.500, 0.500, 0.000], [0.500, 0.500, 0.500], [0.000, 0.000, 0.787], [0.000, 0.000, 0.213]],
  "delta_e_f_mev_per_atom": 107
}


Record 3
{
  "formula": "KAsW2",
  "functional": "PBE",
  "state": "optimized geometry",
  "lattice_angstrom": [[-4.247, -2.744, -3.845], [-3.210, -4.854, -2.548], [-4.579, -0.887, 2.219]],
  "species": ["As", "K", "W", "W"],
  "frac_coords": [[0.250, 0.250, 0.250], [0.750, 0.750, 0.750], [0.956, 0.956, 0.044], [0.544, 0.544, 0.456]],
  "delta_e_f_mev_per_atom": 888
}


Record 4
{
  "formula": "CuAg2Br",
  "functional": "PBE",
  "state": "optimized geometry",
  "lattice_angstrom": [[-2.263, 2.606, 0.162], [-0.050, -0.258, 3.445], [4.873, 4.208, 0.386]],
  "species": ["Ag", "Ag", "Br", "Cu"],
  "frac_coords": [[0.000, 0.000, 0.976], [0.500, 0.500, 0.210], [0.000, 0.000, 0.523], [0.500, 0.500, 0.790]],
  "relative_energy_mev_per_atom": 76
}


Record 5
{
  "formula": "CsGeSe2O8",
  "functional": "PBE",
  "state": "optimized geometry",
  "lattice_angstrom": [[5.561, 0.000, 0.000], [2.780, 4.386, -0.002], [2.780, 1.648, 8.769]],
  "species": ["Cs", "Ge", "Se", "Se", "O", "O", "O", "O", "O", "O", "O", "O"],
  "frac_coords": [[0.500, 0.500, 0.500], [0.000, 0.000, 0.000], [0.297, 0.225, 0.181], [0.703, 0.775, 0.819], [0.832, 0.690, 0.646], [0.786, 0.464, 0.964], [0.168, 0.310, 0.354], [0.214, 0.536, 0.036], [0.670, 0.000, 0.162], [0.330, 0.000, 0.838], [0.168, 0.000, 0.162], [0.832, 0.000, 0.838]],
  "dft_energy_ev_per_fu": -63.377
}


Record 6
{
  "formula": "AcClF3",
  "functional": "PBE",
  "state": "optimized geometry",
  "lattice_angstrom": [[7.147, 0.000, -0.125], [0.000, 7.762, 0.000], [0.344, 0.000, 6.729]],
  "species": ["Ac", "Ac", "Ac", "Ac", "Cl", "Cl", "Cl", "Cl", "F", "F", "F", "F", "F", "F", "F", "F", "F", "F", "F", "F"],
  "frac_coords": [[0.863, 0.621, 0.268], [0.637, 0.121, 0.232], [0.137, 0.379, 0.732], [0.363, 0.879, 0.768], [0.299, 0.525, 0.161], [0.201, 0.025, 0.339], [0.701, 0.475, 0.839], [0.799, 0.975, 0.661], [0.066, 0.655, 0.547], [0.434, 0.155, 0.953], [0.934, 0.345, 0.453], [0.566, 0.845, 0.047], [0.095, 0.071, 0.808], [0.405, 0.571, 0.692], [0.905, 0.929, 0.192], [0.595, 0.429, 0.308], [0.588, 0.835, 0.451], [0.912, 0.335, 0.049], [0.412, 0.165, 0.549], [0.088, 0.665, 0.951]],
  "relative_energy_mev_per_atom": 10
}